(1)
# LiScRu2C

Crystalline LiScRu2C at its relaxed geometry (PBE, Alexandria).

Summary:
ΔE to the lowest computed polymorph ... 130 meV/atom
ΔE_f ... -0.5 eV per formula unit
SG ... P4/mmm, No. 123

Unit cell a=4.0166 b=4.0166 c=4.4386 alpha=90.00 beta=90.00 gamma=90.00
Closest atoms and distances in Å follow each position.
Atoms (fractional coordinates):
Li (0.0000, 0.0000, 0.0000)  4 Sc 2.84, 8 Ru 2.99
Sc (0.5000, 0.5000, 0.0000)  2 C 2.22
Ru (0.0000, 0.5000, 0.5000)  2 C 2.01
Ru (0.5000, 0.0000, 0.5000)  2 C 2.01
C (0.5000, 0.5000, 0.5000)  4 Ru 2.01, 2 Sc 2.22

=====

(2)
# La6Se2I3N

Crystalline La6Se2I3N at its relaxed geometry (PBE, Alexandria).

Summary:
Raw formation energy ... -17.0 eV/f.u.
SG ... C2/m, No. 12

Unit cell a=7.3692 b=7.3692 c=8.0133 alpha=98.73 beta=98.73 gamma=119.72
Closest atoms and distances in Å follow each position.
Atoms (fractional coordinates):
La (0.0612, 0.3514, 0.1870)  1 N 2.57
La (0.2223, 0.2223, 0.8035)  1 N 2.60
La (0.3514, 0.0612, 0.1870)  1 N 2.57
La (0.6486, 0.9388, 0.8130)  1 N 2.57
La (0.7777, 0.7777, 0.1965)  1 N 2.60
La (0.9388, 0.6486, 0.8130)  1 N 2.57
Se (0.3358, 0.6642, 0.0000)  6 La 3.00-3.02
Se (0.6642, 0.3358, 0.0000)  6 La 3.00-3.02
I (0.1794, 0.8206, 0.5000)  6 La 3.34-3.57
I (0.5000, 0.5000, 0.5000)  6 La 3.34-3.63
I (0.8206, 0.1794, 0.5000)  6 La 3.34-3.57
N (0.0000, 0.0000, 0.0000)  6 La 2.57-2.60

=====

(3)
# BeTcH3

Crystalline BeTcH3 at its relaxed geometry (PBE, Alexandria).

Summary:
ΔE to the lowest computed polymorph ... 0 meV/atom
SG ... Pm-3m, No. 221

Unit cell a=3.3413 b=3.3413 c=3.3413 alpha=90.00 beta=90.00 gamma=90.00
Closest atoms and distances in Å follow each position.
Atoms (fractional coordinates):
Be (0.0000, 0.0000, 0.0000)  12 H 2.36
Tc (0.5000, 0.5000, 0.5000)  6 H 1.67
H (0.0000, 0.5000, 0.5000)  2 Tc 1.67
H (0.5000, 0.0000, 0.5000)  2 Tc 1.67
H (0.5000, 0.5000, 0.0000)  2 Tc 1.67

=====

(4)
# KHg2RhS

Crystalline KHg2RhS at its relaxed geometry (PBE, Alexandria).

Summary:
Raw formation energy ... -1.2 eV/f.u.
SG ... P4/mmm, No. 123

Unit cell a=5.3651 b=5.3651 c=4.6822 alpha=90.00 beta=90.00 gamma=90.00
Closest atoms and distances in Å follow each position.
Atoms (fractional coordinates):
K (0.0000, 0.0000, 0.0000)  8 Hg 3.56, 4 S 3.79
Hg (0.0000, 0.5000, 0.5000)  2 Rh 2.68
Hg (0.5000, 0.0000, 0.5000)  2 Rh 2.68
Rh (0.5000, 0.5000, 0.5000)  2 S 2.34
S (0.5000, 0.5000, 0.0000)  2 Rh 2.34

=====

(5)
# LaY2GaO

Crystalline LaY2GaO at its relaxed geometry (PBE, Alexandria).

Summary:
Raw formation energy ... -6.9 eV/f.u.
SG ... P4/mmm, No. 123

Unit cell a=4.7580 b=4.7580 c=4.9823 alpha=90.00 beta=90.00 gamma=90.00
Closest atoms and distances in Å follow each position.
Atoms (fractional coordinates):
La (0.0000, 0.0000, 0.0000)  2 O 2.49
Y (0.0000, 0.5000, 0.5000)  2 O 2.38
Y (0.5000, 0.0000, 0.5000)  2 O 2.38
Ga (0.5000, 0.5000, 0.0000)  4 La 3.36, 8 Y 3.44
O (0.0000, 0.0000, 0.5000)  4 Y 2.38, 2 La 2.49

=====

(6)
# Li2InGa4

Crystalline Li2InGa4 at its relaxed geometry (PBE, Alexandria).

Summary:
ΔE_f ... -0.7 eV per formula unit
SG ... Immm, No. 71

Unit cell a=3.1751 b=4.7644 c=17.9441 alpha=90.00 beta=90.00 gamma=90.00
Closest atoms and distances in Å follow each position.
Atoms (fractional coordinates):
Li (0.0000, 0.0000, 0.1999)  7 Ga 2.71-3.01
Li (0.0000, 0.0000, 0.8001)  7 Ga 2.71-3.01
Li (0.5000, 0.5000, 0.3001)  7 Ga 2.71-3.01
Li (0.5000, 0.5000, 0.6999)  7 Ga 2.71-3.01
In (0.0000, 0.5000, 0.0000)  12 Ga 3.11-3.15, 2 In 3.18
In (0.5000, 0.0000, 0.5000)  12 Ga 3.11-3.15, 2 In 3.18
Ga (0.0000, 0.0000, 0.3511)  5 Li 2.71-3.01, 2 Ga 2.74
Ga (0.0000, 0.0000, 0.6489)  5 Li 2.71-3.01, 2 Ga 2.74
Ga (0.0000, 0.5000, 0.4269)  3 Ga 2.62-2.74, 2 Li 2.77
Ga (0.0000, 0.5000, 0.5731)  3 Ga 2.62-2.74, 2 Li 2.77
Ga (0.5000, 0.0000, 0.0731)  3 Ga 2.62-2.74, 2 Li 2.77
Ga (0.5000, 0.0000, 0.9269)  3 Ga 2.62-2.74, 2 Li 2.77
Ga (0.5000, 0.5000, 0.1489)  5 Li 2.71-3.01, 2 Ga 2.74
Ga (0.5000, 0.5000, 0.8511)  5 Li 2.71-3.01, 2 Ga 2.74

=====

Number 1: DOS(E_F) 5.7 states/eV per cell. Number 2: DOS(E_F) 4.8 states/eV per cell. Number 3: DOS(E_F) 0.5 states/eV per cell. Number 4: DOS(E_F) 4.0 states/eV per cell. Number 5: DOS(E_F) 2.2 states/eV per cell. Number 6: DOS(E_F) 4.7 states/eV per cell.